Model P:
A relaxed structure of Er2PaCd, computed with GGA-PBE.

The structure in extended XYZ format:
```
4
Lattice="3.2472 0.0000 0.0000 1.6236 2.8122 0.0000 1.6236 0.9374 11.8076" Properties=species:S:1:pos:R:3 pbc="T T T"
Cd 3.2472 1.8748 5.9038
Pa 0.0000 0.0000 0.0000
Er 1.6236 0.9374 8.5924
Er 4.8708 2.8122 3.2151
```

Total moment, μB per atom: 0.00
V, Å³/cell: 107.8



Model Q:
A relaxed structure of Er2PaCd, computed with GGA-PBE.

The structure in extended XYZ format:
```
4
Lattice="-0.1799 1.6480 -2.9735 -1.3663 -2.7617 -1.4479 -8.3373 2.9911 2.1622" Properties=species:S:1:pos:R:3 pbc="T T T"
Cd -0.7731 -0.5569 -2.2107
Er -2.0031 0.7186 0.5195
Er -6.3343 2.2725 1.6427
Pa -4.9418 0.9387 -1.1296
```

Total moment, μB per atom: 0.03
V, Å³/cell: 105.7



model Q is preferred energetically. Next in line: 28.3 kJ/mol of atoms higher.



Model P:
A relaxed structure of ErCd2Pb, computed with GGA-PBE.

The structure in extended XYZ format:
```
4
Lattice="4.5169 0.0000 0.0000 0.0000 4.5177 -0.0065 -2.2585 -2.2660 4.9683" Properties=species:S:1:pos:R:3 pbc="T T T"
Er 0.0000 0.0000 0.0000
Pb 2.2585 2.2588 -0.0033
Cd 2.2585 -0.0044 2.4829
Cd 0.0000 2.2560 2.4788
```

Total moment, μB per atom: 0.00
V, Å³/cell: 101.3



Model Q:
A relaxed structure of ErCd2Pb, computed with GGA-PBE.

The structure in extended XYZ format:
```
4
Lattice="4.9119 0.0000 0.0000 0.0000 4.4977 0.0000 0.0000 0.0000 4.4977" Properties=species:S:1:pos:R:3 pbc="T T T"
Pb 2.4560 0.0000 0.0000
Cd 0.0000 2.2488 0.0000
Cd 0.0000 0.0000 2.2488
Er 2.4560 2.2488 2.2488
```

Total moment, μB per atom: 0.00
V, Å³/cell: 99.4



Model R:
A relaxed structure of ErCd2Pb, computed with GGA-PBE.

The structure in extended XYZ format:
```
4
Lattice="5.2973 0.0000 0.0000 2.6487 4.5876 0.0000 2.6487 1.5292 4.3252" Properties=species:S:1:pos:R:3 pbc="T T T"
Cd 7.9460 4.5876 3.2439
Er 0.0000 0.0000 0.0000
Pb 5.2973 3.0584 2.1626
Cd 2.6487 1.5292 1.0813
```

Total moment, μB per atom: 0.00
V, Å³/cell: 105.1



model Q is preferred energetically. Next in line: 5.1 kJ/mol of atoms higher.



Model P:
A relaxed structure of ErCd4Pb, computed with GGA-PBE.

The structure in extended XYZ format:
```
12
Lattice="-2.0066 -4.6575 0.0408 5.8928 -2.5298 1.1462 1.5348 -0.5800 9.3421" Properties=species:S:1:pos:R:3 pbc="T T T"
Cd 0.1133 -4.1153 8.6582
Er 5.8103 -3.8152 7.9907
Cd 3.6562 -5.6634 6.3332
Er -0.3893 -3.9521 2.5384
Cd 5.3077 -3.6520 1.8708
Cd 3.1209 -5.4065 9.2432
Cd 0.5190 -4.3149 5.7228
Cd 4.9020 -3.4524 4.8062
Pb 2.5448 -5.2110 3.1875
Cd 2.3001 -2.3608 1.2858
Pb 2.8762 -2.5562 7.3416
Cd 1.7648 -2.1038 4.1959
```

Total moment, μB per atom: 0.00
V, Å³/cell: 294.3



Model Q:
A relaxed structure of ErCd4Pb, computed with GGA-PBE.

The structure in extended XYZ format:
```
6
Lattice="5.9575 0.0000 0.0000 2.9787 5.1593 0.0000 2.9787 1.7198 4.8643" Properties=species:S:1:pos:R:3 pbc="T T T"
Pb 0.0000 0.0000 0.0000
Cd 4.4711 4.2977 3.0389
Cd 7.4438 4.2977 3.0389
Er 2.9787 1.7198 1.2161
Cd 5.9575 3.4395 0.6118
Cd 5.9575 1.7233 3.0389
```

Total moment, μB per atom: 0.00
V, Å³/cell: 149.5



model P is preferred energetically. Next in line: 8.4 kJ/mol of atoms higher.



Model P:
A relaxed structure of Er8Cd2Pb, computed with GGA-PBE.

The structure in extended XYZ format:
```
11
Lattice="-3.6579 -4.1189 -0.0913 4.0939 -1.6639 7.1814 -5.1316 6.6903 -0.0822" Properties=species:S:1:pos:R:3 pbc="T T T"
Er -1.7209 1.7783 4.2311
Er -1.7147 1.5389 0.6326
Er -2.9748 -0.8708 2.7767
Pb -1.8290 -2.0594 -0.0457
Cd -2.3162 4.1407 2.1345
Cd 1.2784 0.8857 4.9646
Er -2.9810 -0.6313 6.3752
Er 0.4248 -0.3986 2.3171
Er 0.1958 -1.8497 5.5066
Er -4.8915 2.7572 1.5012
Er -5.1205 1.3062 4.6907
```

Total moment, μB per atom: 0.00
V, Å³/cell: 323.9



Model Q:
A relaxed structure of Er8Cd2Pb, computed with GGA-PBE.

The structure in extended XYZ format:
```
11
Lattice="4.9861 0.0000 -1.6100 -1.2873 7.3378 -3.9868 0.0027 -0.0598 8.5341" Properties=species:S:1:pos:R:3 pbc="T T T"
Er 2.1834 6.9637 -1.7641
Cd 0.3163 4.4491 0.9796
Er 2.3708 3.3681 -1.1836
Pb 2.4930 0.0000 -0.8050
Er 1.5181 0.3143 4.7014
Er 3.2300 5.8966 1.4774
Er -0.5979 5.2738 -1.8515
Er 1.3306 3.9099 4.1209
Cd 3.3851 2.8289 1.9576
Er 4.2993 2.0042 4.7888
Er 0.4714 1.3813 1.4599
```

Total moment, μB per atom: 0.00
V, Å³/cell: 311.0



model Q is preferred energetically. Next in line: 13.9 kJ/mol of atoms higher.



Model P:
A relaxed structure of Er2CdPb3, computed with GGA-PBE.

The structure in extended XYZ format:
```
12
Lattice="-2.8644 4.0783 -0.3795 -3.5032 -1.6808 8.3795 7.5413 5.1777 -1.2782" Properties=species:S:1:pos:R:3 pbc="T T T"
Pb -2.7041 4.7392 5.9723
Cd 0.3384 3.5261 2.8911
Pb 0.7834 7.1917 6.0031
Er -3.0542 4.1643 2.4406
Er 2.8360 5.3927 4.0968
Pb -1.0021 2.3661 0.5343
Cd -0.5565 6.0306 3.6463
Er 0.4155 3.8896 6.2134
Pb 1.9311 7.6176 1.9191
Pb -2.1497 1.9399 4.6183
Pb 2.4855 4.8183 0.5651
Er -0.6337 5.6674 0.3240
```

Total moment, μB per atom: 0.00
V, Å³/cell: 359.7



Model Q:
A relaxed structure of Er2CdPb3, computed with GGA-PBE.

The structure in extended XYZ format:
```
6
Lattice="4.2897 0.0000 -1.3570 0.0000 4.6454 0.0000 0.1952 0.0000 8.0759" Properties=species:S:1:pos:R:3 pbc="T T T"
Pb 1.5347 0.0000 4.8513
Er 0.7137 2.3227 2.2561
Pb 2.9503 0.0000 1.8675
Cd 0.0000 0.0000 0.0000
Er 3.7712 2.3227 4.4627
Pb 2.1449 2.3227 -0.6785
```

Total moment, μB per atom: 0.00
V, Å³/cell: 162.2



model Q is preferred energetically. Next in line: 21.9 kJ/mol of atoms higher.



Model P:
A relaxed structure of ErCdPd2, computed with GGA-PBE.

The structure in extended XYZ format:
```
4
Lattice="-1.6886 -2.9943 -0.3608 2.3451 -1.7644 3.6679 -3.3616 1.5471 2.8935" Properties=species:S:1:pos:R:3 pbc="T T T"
Pd 1.1725 -0.8822 1.8339
Pd -1.6808 0.7735 1.4467
Cd -0.8443 -1.4971 -0.1804
Er -1.3525 -1.6058 3.1003
```

Total moment, μB per atom: 0.00
V, Å³/cell: 76.3



Model Q:
A relaxed structure of ErCdPd2, computed with GGA-PBE.

The structure in extended XYZ format:
```
4
Lattice="3.5485 0.0000 0.0000 0.0000 3.5485 0.0000 0.0000 0.0000 6.1089" Properties=species:S:1:pos:R:3 pbc="T T T"
Pd 0.0000 0.0000 4.5393
Er 1.7743 1.7743 0.0000
Cd 1.7743 1.7743 3.0544
Pd 0.0000 0.0000 1.5696
```

Total moment, μB per atom: 0.00
V, Å³/cell: 76.9



model Q is preferred energetically. Next in line: 1.7 kJ/mol of atoms higher.



Model P:
A relaxed structure of ErCd3Pd6, computed with GGA-PBE.

The structure in extended XYZ format:
```
20
Lattice="-3.3305 3.8201 -1.7721 3.1869 -0.9230 -7.9792 -6.7388 -5.2249 1.4020" Properties=species:S:1:pos:R:3 pbc="T T T"
Er -0.4439 0.5240 -7.3710
Pd -4.4047 -1.4825 0.0438
Pd -1.1797 2.5470 -5.4642
Pd -6.2774 -1.9295 -1.9274
Cd -3.8499 -5.0111 -4.5191
Cd -3.8328 -2.3720 -6.9952
Pd -6.1008 -4.4182 -3.0969
Pd -1.7316 -3.3272 -5.2597
Pd -2.8758 -0.3887 -8.6049
Cd -1.7572 1.2207 -3.1517
Pd -9.4189 -2.1038 -0.0680
Er -5.2653 -4.1975 -0.3541
Pd 0.4735 -1.6354 -5.8480
Pd -5.1242 -2.1659 -4.5131
Pd -4.0350 -0.2804 -2.4959
Cd -2.9410 -0.3777 -5.1797
Pd -0.6423 -1.4418 -3.2425
Pd 2.1125 0.2623 -8.5069
Cd -1.7743 -1.4185 -0.6756
Cd -2.9967 -3.0336 -2.6670
```

Total moment, μB per atom: 0.00
V, Å³/cell: 372.0



Model Q:
A relaxed structure of ErCd3Pd6, computed with GGA-PBE.

The structure in extended XYZ format:
```
20
Lattice="-2.2026 3.2427 -1.6924 -7.2856 -2.8733 3.9767 2.7477 5.5657 7.0883" Properties=species:S:1:pos:R:3 pbc="T T T"
Cd -3.3248 4.1365 9.5601
Er -1.0807 4.3378 1.6390
Pd -3.2697 2.8686 7.0589
Pd -3.4707 3.0665 2.3137
Pd -5.6400 4.4165 7.7235
Cd -3.4758 1.4399 4.5896
Pd -3.1608 5.8699 7.2818
Pd -0.8097 5.9138 4.3059
Cd -3.2647 4.4953 4.7831
Pd -5.9308 0.0214 5.0667
Cd -3.4156 1.7986 -0.1875
Pd -0.9868 2.9044 4.1563
Cd -0.8446 4.3105 6.6655
Pd -8.2973 0.2133 3.1283
Pd -5.7537 3.0308 5.2164
Cd -5.8959 1.6246 2.7072
Er -5.6598 1.5973 7.7337
Pd 1.5568 5.7219 6.2443
Pd -3.5797 0.0652 2.0908
Pd -1.1005 1.5187 1.6492
```

Total moment, μB per atom: 0.00
V, Å³/cell: 351.8



model Q is preferred energetically. Next in line: 13.4 kJ/mol of atoms higher.



Model P:
A relaxed structure of Er2Cd3Pd2, computed with GGA-PBE.

The structure in extended XYZ format:
```
7
Lattice="-2.1614 1.0896 3.0685 1.0007 -5.3349 0.1102 6.4786 1.8600 3.9029" Properties=species:S:1:pos:R:3 pbc="T T T"
Er 1.1907 0.0377 3.3143
Pd 4.1089 0.2823 2.7940
Pd 1.2090 -2.6676 4.2877
Cd 4.5143 0.2982 5.5628
Er 4.1272 -2.4230 3.7674
Cd 0.0000 0.0000 0.0000
Cd 0.8036 -2.6835 1.5189
```

Total moment, μB per atom: 0.00
V, Å³/cell: 153.7



Model Q:
A relaxed structure of Er2Cd3Pd2, computed with GGA-PBE.

The structure in extended XYZ format:
```
7
Lattice="-4.3745 -0.6004 0.6748 2.1238 -3.1231 -3.7944 1.4372 -3.0761 6.5803" Properties=species:S:1:pos:R:3 pbc="T T T"
Pd 0.2529 -1.6536 0.1683
Er 1.1089 -3.3663 4.1937
Pd -1.0663 -5.1461 3.2924
Cd -1.5703 -2.5351 2.3483
Cd 0.7569 -4.2646 1.1124
Er -1.9224 -3.4333 -0.7330
Cd -2.1872 -0.3002 0.3374
```

Total moment, μB per atom: 0.00
V, Å³/cell: 151.2



model Q is preferred energetically. Next in line: 2.4 kJ/mol of atoms higher.



Model P:
A relaxed structure of ErCd3Pd4, computed with GGA-PBE.

The structure in extended XYZ format:
```
16
Lattice="-2.0392 3.9362 1.6338 1.4829 -1.7740 6.1248 8.2490 4.5549 -0.6780" Properties=species:S:1:pos:R:3 pbc="T T T"
Cd 4.1245 2.2775 -0.3390
Pd -0.6582 1.5358 2.3095
Cd 1.7962 2.1966 3.7002
Cd 5.8966 4.5205 3.3805
Pd 7.2905 2.1089 4.1379
Pd 4.2265 2.9039 5.1101
Cd 1.0592 3.0750 0.6342
Pd 6.5304 3.0182 0.9985
Er 4.8660 1.3905 2.7234
Pd 0.1020 0.6264 5.4491
Cd 5.1507 5.4161 0.3216
Pd 1.1624 3.6989 6.0822
Pd 3.4663 3.8133 1.9705
Pd 0.4023 4.6082 2.9427
Er 0.7415 -0.8870 3.0624
Cd 0.0000 0.0000 0.0000
```

Total moment, μB per atom: 0.00
V, Å³/cell: 292.2



Model Q:
A relaxed structure of ErCd3Pd4, computed with GGA-PBE.

The structure in extended XYZ format:
```
8
Lattice="6.2615 -0.2956 -0.8660 -3.3408 5.3040 0.8660 -3.3936 -1.3768 5.1605" Properties=species:S:1:pos:R:3 pbc="T T T"
Pd -3.1649 3.5674 2.1942
Pd -1.2233 0.7134 1.8943
Cd -0.0140 0.0082 4.2576
Er -2.6994 1.5742 4.0133
Pd 1.5980 0.7021 1.3282
Pd -4.8427 2.8240 5.1333
Cd 2.3776 -1.3865 3.5604
Cd 0.2221 3.2263 1.9227
```

Total moment, μB per atom: 0.00
V, Å³/cell: 155.1



model P is preferred energetically. Next in line: 25.0 kJ/mol of atoms higher.



Model P:
A relaxed structure of ErCd3Pd, computed with GGA-PBE.

The structure in extended XYZ format:
```
20
Lattice="-2.9812 -2.1653 -1.7228 -1.4360 -4.5123 8.1560 -7.8013 8.2168 3.1724" Properties=species:S:1:pos:R:3 pbc="T T T"
Cd -3.5214 -2.5796 6.9348
Cd -5.3536 -1.7249 4.2297
Cd -4.0138 2.6178 1.2547
Cd -9.9879 3.8119 5.2900
Cd -3.5173 0.4285 3.1471
Cd -8.6971 4.1187 2.6708
Cd -6.8649 3.2641 5.3759
Cd -3.9143 -0.2285 -0.1416
Cd -2.2306 -2.2728 4.3156
Cd -8.7012 1.1106 6.4585
Pd -5.8960 3.9089 2.8890
Cd -8.3042 1.7677 9.7472
Er -5.5674 0.3967 6.7344
Pd -3.7393 -2.0781 1.8801
Pd -8.4792 3.6172 7.7255
Er -6.6511 1.1424 2.8712
Er -1.0798 -1.3174 1.1235
Cd -8.2047 -1.0786 8.3509
Er -11.1387 2.8566 8.4821
Pd -6.3225 -2.3698 6.7166
```

Total moment, μB per atom: 0.00
V, Å³/cell: 451.4



Model Q:
A relaxed structure of ErCd3Pd, computed with GGA-PBE.

The structure in extended XYZ format:
```
10
Lattice="-0.4660 5.1301 1.6843 1.5764 -1.4876 4.9673 8.3680 -0.2368 -5.6831" Properties=species:S:1:pos:R:3 pbc="T T T"
Cd 5.2161 0.9262 -1.3780
Cd 7.5669 -0.8365 0.3046
Er 7.9509 4.0182 -1.3199
Cd 7.3351 1.7150 1.1423
Cd 3.4407 -0.7124 3.1217
Cd 2.6566 0.0275 0.6513
Er 0.5063 2.6963 0.6468
Pd 5.2498 0.0484 1.3050
Pd 0.0000 0.0000 0.0000
Cd 4.2623 2.4795 2.3464
```

Total moment, μB per atom: 0.00
V, Å³/cell: 275.1



model P is preferred energetically. Next in line: 24.9 kJ/mol of atoms higher.



Model P:
A relaxed structure of Er3Cd2Pd3, computed with GGA-PBE.

The structure in extended XYZ format:
```
16
Lattice="5.7317 0.0000 0.0000 0.0000 7.2734 -4.1993 0.0000 0.0000 8.3986" Properties=species:S:1:pos:R:3 pbc="T T T"
Pd 4.2988 4.4760 -2.5842
Pd 4.2988 2.7974 1.6151
Cd 0.0000 4.8489 0.0000
Pd 4.2988 0.0000 5.1684
Cd 2.8659 2.4245 4.1993
Cd 0.0000 2.4245 4.1993
Pd 1.4329 4.4760 2.5842
Pd 1.4329 0.0000 3.2301
Er 4.2988 1.9695 -1.1371
Er 1.4329 5.3039 -3.0622
Er 4.2988 5.3039 3.0622
Er 1.4329 0.0000 6.1244
Er 4.2988 0.0000 2.2741
Cd 2.8659 4.8489 0.0000
Er 1.4329 1.9695 1.1371
Pd 1.4329 2.7974 -1.6151
```

Total moment, μB per atom: 0.00
V, Å³/cell: 350.1



Model Q:
A relaxed structure of Er3Cd2Pd3, computed with GGA-PBE.

The structure in extended XYZ format:
```
8
Lattice="3.4492 0.0000 0.0000 0.0000 4.8965 0.0000 -1.7246 -2.4482 10.1233" Properties=species:S:1:pos:R:3 pbc="T T T"
Cd 0.0000 2.4482 5.4048
Pd 0.0000 0.0000 2.3580
Er 1.7246 0.0000 0.0000
Pd 0.0000 2.4482 0.0000
Er 0.0000 0.0000 7.6452
Er 1.7246 2.4482 2.4781
Pd 1.7246 2.4482 7.7653
Cd 1.7246 0.0000 4.7185
```

Total moment, μB per atom: 0.00
V, Å³/cell: 171.0



model P is preferred energetically. Next in line: 1.3 kJ/mol of atoms higher.